Crystalline LiMg6BiO8 at its relaxed geometry. Source: Alexandria via LeMat-Bulk, functional PBE.

abc: 4.428 4.428 8.852
angles: 90.00 90.00 90.00
Element x y z (fractional)
Bi (0.500, 0.500, 0.000)
Mg (0.000, 0.500, 0.737)
Mg (0.500, 0.000, 0.263)
O (0.000, 0.000, 0.263)
Mg (0.500, 0.000, 0.737)
Li (0.000, 0.000, 0.000)
O (0.000, 0.500, 0.500)
O (0.500, 0.500, 0.269)
Mg (0.000, 0.000, 0.500)
O (0.500, 0.000, 0.500)
O (0.500, 0.000, 0.000)
O (0.000, 0.000, 0.737)
Mg (0.000, 0.500, 0.263)
Mg (0.500, 0.500, 0.500)
O (0.500, 0.500, 0.731)
O (0.000, 0.500, 0.000)

Calculated values
space group = P4/mmm, No. 123
energy above the lowest structure with this stoichiometry = 0.0000 eV per atom
energy relative to the elements, uncorrected = -2.282 eV per atom

Crystalline Tb5ErPd2 at its relaxed geometry. Source: Alexandria via LeMat-Bulk, functional PBE.

abc: 3.820 6.648 18.196
angles: 90.00 90.00 106.70
Element x y z (fractional)
Pd (0.750, 0.501, 0.133)
Pd (0.250, 0.499, 0.633)
Tb (0.614, 0.227, 0.250)
Tb (0.947, 0.894, 0.604)
Tb (0.655, 0.309, 0.956)
Tb (0.345, 0.691, 0.456)
Pd (0.250, 0.499, 0.867)
Tb (0.947, 0.894, 0.896)
Tb (0.053, 0.106, 0.104)
Er (0.348, 0.696, 0.250)
Tb (0.655, 0.309, 0.544)
Pd (0.750, 0.501, 0.367)
Tb (0.386, 0.773, 0.750)
Tb (0.345, 0.691, 0.044)
Tb (0.053, 0.106, 0.396)
Er (0.652, 0.304, 0.750)

Calculated values
calculated formation energy = -0.359 eV/atom
space group = Cmcm, No. 63

Crystalline NaTi2SeO8 at its relaxed geometry. Source: Alexandria via LeMat-Bulk, functional PBE.

abc: 4.603 4.602 6.286
angles: 90.00 90.00 85.82
Site moments in Bohr magnetons follow the coordinates.
Element x y z (fractional)
O (0.200, 0.799, 0.206)  0.09
O (0.800, 0.201, 0.794)  0.09
Ti (0.500, 0.500, 0.729)  -0.02
Se (0.000, 0.000, 0.000)  -0.02
O (0.676, 0.677, 0.500)  0.02
Ti (0.500, 0.500, 0.271)  -0.02
O (0.800, 0.201, 0.206)  0.09
O (0.200, 0.799, 0.794)  0.09
Na (0.000, 0.000, 0.500)  0.00
O (0.324, 0.323, 0.500)  0.02
O (0.273, 0.273, 0.000)  0.25
O (0.727, 0.727, 0.000)  0.25

Calculated values
space group = Cmmm, No. 65
energy relative to the elements, uncorrected = -1.741 eV per atom

Crystalline SbRuS at its relaxed geometry. Source: Alexandria via LeMat-Bulk, functional PBE.

abc: 6.188 6.253 6.268
angles: 68.37 90.00 90.00
Element x y z (fractional)
Ru (0.487, 0.704, 0.803)
Sb (0.130, 0.149, 0.129)
S (0.867, 0.352, 0.321)
Ru (0.987, 0.296, 0.697)
Sb (0.370, 0.149, 0.629)
Sb (0.630, 0.851, 0.371)
Ru (0.013, 0.704, 0.303)
S (0.633, 0.352, 0.821)
Sb (0.870, 0.851, 0.871)
Ru (0.513, 0.296, 0.197)
S (0.133, 0.648, 0.679)
S (0.367, 0.648, 0.179)

Calculated values
space group = P2_1/c, No. 14
energy relative to the elements, uncorrected = -0.455 eV per atom

Crystalline DyMg2Ti at its relaxed geometry. Source: Alexandria via LeMat-Bulk, functional PBE.

abc: 3.060 3.060 11.811
angles: 82.56 82.56 60.00
Element x y z (fractional)
Mg (0.917, 0.917, 0.249)
Ti (0.000, 0.000, 0.000)
Mg (0.083, 0.083, 0.751)
Dy (0.500, 0.500, 0.500)

Calculated values
calculated formation energy = 0.405 eV/atom
space group = R-3m, No. 166
energy above the lowest structure with this stoichiometry = 0.2736 eV per atom